1.
The following is a DFT calculation (PBE-GGA) of a relaxed PrBi crystal.

a = 4.246 Å, b = 4.246 Å, c = 3.488 Å
α = 90.00°, β = 90.00°, γ = 90.00°
Space group P4/mmm (No. 123)
Inequivalent atoms, fractional coordinates:
Pr  0.000  0.000  0.000
Bi  0.500  0.500  0.500

ΔE to the lowest computed polymorph ... 0.1896 eV per atom



2.
The following is a DFT calculation (PBE-GGA) of a relaxed PrBi crystal.

a = 4.384 Å, b = 12.272 Å, c = 4.912 Å
α = 90.00°, β = 90.00°, γ = 90.00°
Space group Cmcm (No. 63)
Inequivalent atoms, fractional coordinates:
Pr  0.000  0.125  0.250
Bi  0.000  0.388  0.250

ΔE to the lowest computed polymorph ... 0.1159 eV per atom



3.
The following is a DFT calculation (PBE-GGA) of a relaxed Pr2BiSbPt2 crystal.

a = 11.867 Å, b = 4.844 Å, c = 11.869 Å
α = 90.00°, β = 109.47°, γ = 90.00°
Space group Pm (No. 6)
Inequivalent atoms, fractional coordinates:
Pr  0.000  0.000  0.000
Pr  0.120  0.500  0.369
Pr  0.247  0.000  0.746
Pr  0.372  0.500  0.125
Pr  0.498  0.000  0.496
Pr  0.623  0.500  0.873
Pr  0.745  0.000  0.247
Pr  0.875  0.500  0.623
Bi  0.372  0.500  0.621
Bi  0.497  0.000  0.997
Bi  0.749  0.000  0.748
Bi  0.997  0.000  0.496
Sb  0.123  0.500  0.873
Sb  0.248  0.000  0.248
Sb  0.623  0.500  0.373
Sb  0.871  0.500  0.122
Pt  0.003  0.000  0.753
Pt  0.123  0.500  0.122
Pt  0.246  0.000  0.490
Pt  0.367  0.500  0.873
Pt  0.496  0.000  0.251
Pt  0.624  0.500  0.618
Pt  0.752  0.000  0.002
Pt  0.866  0.500  0.367

Calculated total energy ... -6.049 eV per atom



4.
The following is a DFT calculation (PBE-GGA) of a relaxed RbPrBi crystal.

a = 7.898 Å, b = 7.898 Å, c = 7.898 Å
α = 90.00°, β = 90.00°, γ = 90.00°
Space group F-43m (No. 216)
Inequivalent atoms, fractional coordinates:
Rb  0.000  0.000  0.000
Pr  0.250  0.250  0.750
Bi  0.000  0.000  0.500

Calculated total energy ... -3.219 eV per atom



5.
The following is a DFT calculation (PBE-GGA) of a relaxed RbPrBiTe3 crystal.

a = 4.643 Å, b = 17.523 Å, c = 11.714 Å
α = 90.00°, β = 90.00°, γ = 90.00°
Space group Cmcm (No. 63)
Inequivalent atoms, fractional coordinates:
Rb  0.000  0.237  0.250
Pr  0.000  0.000  0.000
Bi  0.000  0.467  0.750
Te  0.000  0.097  0.750
Te  0.000  0.372  0.535

Calculated total energy ... -3.998 eV per atom



6.
The following is a DFT calculation (PBE-GGA) of a relaxed PrBi3S6 crystal.

a = 11.715 Å, b = 4.043 Å, c = 11.715 Å
α = 90.00°, β = 106.70°, γ = 90.00°
Space group P2_1/m (No. 11)
Inequivalent atoms, fractional coordinates:
Pr  0.190  0.250  0.041
Bi  0.021  0.750  0.304
Bi  0.335  0.250  0.434
Bi  0.406  0.750  0.846
S  0.037  0.750  0.892
S  0.115  0.250  0.464
S  0.222  0.750  0.239
S  0.250  0.250  0.807
S  0.389  0.750  0.069
S  0.414  0.750  0.590

Calculated total energy ... -4.958 eV per atom



M_tot for the records above, in order: 0.00, 0.00, 0.00, 3.75, 0.03, 0.01 Bohr magnetons per cell